1.
5
Lattice="4.138 0.000 0.000 0.000 4.138 0.000 0.000 0.000 4.069" Properties=species:S:1:pos:R:3 comment="NaCdO2F, relaxed, DFT GGA-PBE" dos_ef_per_ev_cell=5.4 e_tot_ev_per_cell=-16.049 m_tot_mub_per_atom=0.400 e_form_raw_kj_per_mol_atoms=-39.1 pbc="T T T"
Na 0.000 0.000 0.000
F 0.000 0.000 2.035
O 0.000 2.069 0.000
O 2.069 0.000 0.000
Cd 2.069 2.069 2.035

***

2.
18
Lattice="6.874 0.000 0.000 0.000 9.196 0.000 0.000 -4.598 8.114" Properties=species:S:1:pos:R:3 comment="PmPr5Ga3, relaxed, DFT GGA-PBE" dos_ef_per_ev_cell=18.4 e_tot_ev_per_cell=-81.859 formation_energy_mev_per_atom=-356 m_tot_mub_per_atom=0.000 pbc="T T T"
Pm 0.000 0.000 0.000
Pm 3.437 0.000 0.000
Pr 0.000 4.598 2.441
Pr 3.437 0.000 5.673
Pr 0.000 0.000 5.673
Pr 3.437 4.598 2.441
Pr 5.155 3.110 5.342
Pr 5.155 -1.487 2.773
Pr 5.155 2.974 0.000
Pr 1.718 1.487 2.773
Pr 1.718 6.085 5.342
Pr 1.718 6.222 0.000
Ga 5.155 1.553 2.695
Ga 5.155 -3.045 5.419
Ga 5.155 6.172 0.000
Ga 1.718 3.045 5.419
Ga 1.718 7.643 2.695
Ga 1.718 3.023 0.000